(1)
{"formula": "Ba4Sr3", "functional": "PBE", "state": "optimized geometry", "e_tot_ev_per_atom": -1.816, "lattice": [[-2.261, -4.156, 1.312], [0.718, -1.809, -4.493], [15.847, -3.621, 6.656]], "species": ["Sr", "Sr", "Sr", "Ba", "Ba", "Ba", "Ba"], "fractional_positions": [[0.142, 0.642, 0.283], [0.000, 0.500, 0.000], [0.858, 0.358, 0.717], [0.429, 0.929, 0.859], [0.571, 0.071, 0.141], [0.713, 0.213, 0.425], [0.287, 0.787, 0.575]]}

***

(2)
{"formula": "HgHO2", "functional": "PBE", "state": "optimized geometry", "e_tot_ev_per_atom": -3.666, "lattice": [[4.282, 1.155, 0.004], [0.469, 4.411, 0.004], [0.005, 0.005, 6.709]], "species": ["Hg", "Hg", "H", "H", "O", "O", "O", "O"], "fractional_positions": [[0.500, 0.500, 0.000], [0.500, 0.500, 0.500], [0.996, 0.995, 0.250], [0.005, 0.004, 0.750], [0.754, 0.232, 0.250], [0.231, 0.754, 0.250], [0.246, 0.769, 0.750], [0.768, 0.246, 0.750]]}